Record 1
The following is a DFT calculation (GGA-PBEsol) of a relaxed structure of Hf2MgSnPt.

formation energy = 1.22 eV/atom

a b c (Å): 4.892 4.892 4.732
angles (deg): 90.00 90.00 90.00
Element x y z (fractional)
1 Hf 0.000 0.500 0.000
2 Hf 0.500 0.000 0.000
3 Mg 0.000 0.000 0.000
4 Sn 0.000 0.000 0.500
5 Pt 0.500 0.500 0.500

---

Record 2
The following is a DFT calculation (GGA-PBEsol) of a relaxed structure of NiPt2Rh.

formation energy = -0.01 eV/atom

a b c (Å): 8.737 8.737 8.737
angles (deg): 17.80 17.80 17.80
Element x y z (fractional)
1 Ni 0.000 0.000 0.000
2 Pt 0.253 0.253 0.253
3 Pt 0.747 0.747 0.747
4 Rh 0.500 0.500 0.500

---

Record 3
The following is a DFT calculation (GGA-PBEsol) of a relaxed structure of LiLa2Mg.

energy relative to the lowest polymorph listed for this composition = 0 meV per atom
formation energy = 0.01 eV/atom

a b c (Å): 3.582 3.582 8.544
angles (deg): 90.00 90.00 90.00
Element x y z (fractional)
1 Li 0.000 0.000 0.000
2 La 0.000 0.000 0.446
3 La 0.500 0.500 0.736
4 Mg 0.500 0.500 0.169